# 1
Tb4Sm3In2: optimized geometry, PBE.

Properties
- Size of the total moment: 0.00 μB/f.u.
- Formation enthalpy at 0 K: -0.20 eV/atom

abc: 6.835 6.835 8.507
angles: 103.70 103.70 46.26
Element x y z (fractional)
Tb 0.123 0.123 0.157
Tb 0.330 0.330 0.536
Tb 0.670 0.670 0.464
Tb 0.877 0.877 0.843
Sm 0.000 0.000 0.500
Sm 0.426 0.426 0.154
Sm 0.574 0.574 0.846
In 0.213 0.213 0.819
In 0.787 0.787 0.181

# 2
Ag2AsPt: optimized geometry, PBE.

Properties
- Size of the total moment: 0.00 μB/f.u.
- Formation enthalpy at 0 K: 0.07 eV/atom

abc: 5.212 5.212 4.734
angles: 104.63 104.63 33.92
Element x y z (fractional)
Ag 0.247 0.247 0.250
Ag 0.753 0.753 0.750
As 0.500 0.500 0.000
Pt 0.000 0.000 0.500

# 3
Cr2FeTc: optimized geometry, PBE.

Properties
- Size of the total moment: 2.49 μB/f.u.
- Distance to the lowest polymorph of the same formula: 7 meV per atom
- Formation enthalpy at 0 K: 0.11 eV/atom

abc: 2.518 4.102 4.889
angles: 90.00 100.52 90.00
Element x y z (fractional)
Cr 0.000 0.000 0.000
Cr 0.229 0.500 0.760
Fe 0.762 0.500 0.240
Tc 0.477 0.000 0.500

# 4
Ta2CdOs: optimized geometry, PBE.

Properties
- Size of the total moment: 0.00 μB/f.u.
- Formation enthalpy at 0 K: 0.18 eV/atom

abc: 4.081 4.081 4.137
angles: 90.00 90.00 90.00
Element x y z (fractional)
Ta 0.000 0.500 0.000
Ta 0.500 0.000 0.000
Cd 0.000 0.000 0.500
Os 0.500 0.500 0.500

# 5
NbInGe2Rh: optimized geometry, PBE.

Properties
- Size of the total moment: 1.57 μB/f.u.
- Formation enthalpy at 0 K: 0.96 eV/atom

abc: 4.918 4.918 5.328
angles: 90.00 90.00 90.00
Element x y z (fractional)
Nb 0.000 0.000 0.000
In 0.000 0.000 0.500
Ge 0.000 0.500 0.000
Ge 0.500 0.000 0.000
Rh 0.500 0.500 0.500

# 6
Li6SmAg4: optimized geometry, PBE.

Properties
- Size of the total moment: 0.00 μB/f.u.
- Formation enthalpy at 0 K: -0.13 eV/atom

abc: 7.638 7.638 4.121
angles: 90.00 90.00 120.00
Element x y z (fractional)
Li 0.200 0.400 0.000
Li 0.200 0.800 0.000
Li 0.260 0.130 0.500
Li 0.600 0.800 0.000
Li 0.870 0.130 0.500
Li 0.870 0.740 0.500
Sm 0.667 0.333 0.000
Ag 0.000 0.000 0.000
Ag 0.065 0.532 0.500
Ag 0.468 0.532 0.500
Ag 0.468 0.935 0.500

# 7
YPtPb: optimized geometry, PBE.

Properties
- Size of the total moment: 0.00 μB/f.u.
- Formation enthalpy at 0 K: -0.64 eV/atom

abc: 6.289 6.289 6.289
angles: 147.30 147.30 46.92
Element x y z (fractional)
Y 0.000 0.000 0.000
Pt 0.632 0.632 0.000
Pb 0.290 0.290 0.000

# 8
CeSmErMg: optimized geometry, PBE.

Properties
- Size of the total moment: 1.26 μB/f.u.
- Formation enthalpy at 0 K: 0.09 eV/atom

abc: 5.524 5.524 5.524
angles: 60.00 60.00 60.00
Element x y z (fractional)
Ce 0.000 0.000 0.000
Sm 0.500 0.500 0.500
Er 0.250 0.250 0.250
Mg 0.750 0.750 0.750